Entry from Alexandria via LeMat-Bulk: a relaxed structure of BaLu3Pd (PBE).

Unit cell a=5.4954 b=5.4954 c=5.4954 alpha=90.00 beta=90.00 gamma=90.00
Closest atoms and distances in Å follow each position.
Element x y z (fractional)
Ba: 0.0000 0.0000 0.0000  12 Lu 3.89
Lu: 0.0000 0.5000 0.5000  2 Pd 2.75
Lu: 0.5000 0.0000 0.5000  2 Pd 2.75
Lu: 0.5000 0.5000 0.0000  2 Pd 2.75
Pd: 0.5000 0.5000 0.5000  6 Lu 2.75

Summary:
Total magnetic moment, μB/atom: 0.000
DFT total energy, eV/atom: -4.35
Fermi-level density of states, states/eV/f.u.: 5.29
SG: No. 221